Density functional theory data (PBE with a Hubbard U) for a relaxed Be3MoF crystal.

Unit cell a=3.7381 b=3.7381 c=3.7381 alpha=90.00 beta=90.00 gamma=90.00
Last column: nearest neighbours and their distance in Å.
Space group Pm-3m (No. 221)
Asymmetric unit:
Be: 0.0000 0.0000 0.5000 x3  2 F 1.87
Mo: 0.5000 0.5000 0.5000 x1  12 Be 2.64
F: 0.0000 0.0000 0.0000 x1  6 Be 1.87

## Properties
Magnetization ... 0.200 μB per atom
Total DFT energy (no corrections) ... -3.924 eV/atom
Crystal system ... cubic